Entry P
PBE MnCuHg2, relaxed; DOS at the Fermi energy = 5.652 states/eV/cell
1.0
-2.085 2.085 9.473
2.085 -2.085 9.473
2.085 2.085 -9.473
Mn Cu Hg
2 2 4
direct
0.000 0.000 0.000
0.750 0.250 0.500
0.250 0.750 0.500
0.500 0.500 0.000
0.133 0.625 0.008
0.375 0.383 0.508
0.617 0.125 0.992
0.875 0.867 0.492

=====

Entry Q
PBE MnCuHg2, relaxed; DOS at the Fermi energy = 1.708 states/eV/cell
1.0
0.000 3.304 3.304
3.304 0.000 3.304
3.304 3.304 0.000
Mn Cu Hg
1 1 2
direct
0.000 0.000 0.000
0.750 0.750 0.750
0.250 0.250 0.250
0.500 0.500 0.500

=====

Most stable to least stable, the ends of the list are entry Q and entry P.

=====

Entry P
PBE MnCuHg2, relaxed; DOS at the Fermi energy = 1.716 states/eV/cell
1.0
-1.624 2.340 4.743
1.624 -2.340 4.743
1.624 2.340 -4.743
Mn Cu Hg
1 1 2
direct
0.000 0.000 0.000
0.216 0.716 0.500
0.461 0.461 0.000
0.739 0.239 0.500

=====

Entry Q
PBE MnCuHg2, relaxed; DOS at the Fermi energy = 1.777 states/eV/cell
1.0
0.000 3.274 3.274
3.274 0.000 3.274
3.274 3.274 0.000
Mn Cu Hg
1 1 2
direct
0.000 0.000 0.000
0.500 0.500 0.500
0.250 0.250 0.250
0.750 0.750 0.750

=====

Most stable to least stable, the ends of the list are entry Q and entry P.

=====

Entry P
PBE MnCuHg2, relaxed; DOS at the Fermi energy = 1.863 states/eV/cell
1.0
-2.059 2.059 4.234
2.059 -2.059 4.234
2.059 2.059 -4.234
Mn Cu Hg
1 1 2
direct
0.000 0.000 0.000
0.250 0.750 0.500
0.500 0.500 0.000
0.750 0.250 0.500

=====

Entry Q
PBE MnCuHg2, relaxed; DOS at the Fermi energy = 1.623 states/eV/cell
1.0
3.184 0.000 0.000
0.000 3.184 0.000
0.000 0.000 7.141
Mn Cu Hg
1 1 2
direct
0.000 0.000 0.000
0.500 0.500 0.187
0.000 0.000 0.423
0.500 0.500 0.745

=====

Entry R
PBE MnCuHg2, relaxed; DOS at the Fermi energy = 1.668 states/eV/cell
1.0
1.557 0.899 8.760
-1.557 0.899 8.760
0.000 -1.798 8.760
Mn Cu Hg
1 1 2
direct
0.000 0.000 0.000
0.500 0.500 0.500
0.248 0.248 0.248
0.752 0.752 0.752

=====

Most stable to least stable, the ends of the list are entry Q and entry R.

=====

Entry P
PBE MnCuHg2, relaxed; DOS at the Fermi energy = 1.790 states/eV/cell
1.0
4.486 -1.587 0.000
4.486 1.587 0.000
-1.123 0.000 5.174
Mn Cu Hg
1 1 2
direct
0.000 0.000 0.000
0.500 0.500 0.500
0.247 0.247 0.744
0.753 0.753 0.256

=====

Entry Q
PBE MnCuHg2, relaxed; DOS at the Fermi energy = 2.143 states/eV/cell
1.0
3.270 -3.326 0.000
3.270 3.326 0.000
0.000 0.000 3.248
Mn Cu Hg
1 1 2
direct
0.000 0.000 0.000
0.500 0.500 0.000
0.000 0.500 0.500
0.500 0.000 0.500

=====

Most stable to least stable, the ends of the list are entry Q and entry P.

=====

Entry P
PBE MnCuHg3, relaxed; DOS at the Fermi energy = 2.651 states/eV/cell
1.0
5.013 0.000 0.000
0.000 5.013 0.000
0.000 0.000 5.013
Mn Cu Hg
1 1 3
direct
0.000 0.000 0.000
0.500 0.500 0.500
0.000 0.500 0.500
0.500 0.000 0.500
0.500 0.500 0.000

=====

Entry Q
PBE MnCuHg3, relaxed; DOS at the Fermi energy = 4.166 states/eV/cell
1.0
5.202 0.000 0.000
0.000 5.202 0.000
0.000 0.000 5.202
Mn Cu Hg
1 1 3
direct
0.000 0.000 0.000
0.500 0.500 0.500
0.000 0.000 0.500
0.000 0.500 0.000
0.500 0.000 0.000

=====

Most stable to least stable, the ends of the list are entry P and entry Q.

=====

Entry P
PBE CuHg3Mo, relaxed; DOS at the Fermi energy = 4.527 states/eV/cell
1.0
5.446 0.000 0.000
0.000 5.446 0.000
0.000 0.000 5.446
Cu Hg Mo
1 3 1
direct
0.000 0.000 0.000
0.000 0.500 0.500
0.500 0.000 0.500
0.500 0.500 0.000
0.500 0.500 0.500

=====

Entry Q
PBE CuHg3Mo, relaxed; DOS at the Fermi energy = 2.408 states/eV/cell
1.0
4.992 0.000 0.000
0.000 4.992 0.000
0.000 0.000 4.992
Cu Hg Mo
1 3 1
direct
0.000 0.000 0.000
0.000 0.000 0.500
0.000 0.500 0.000
0.500 0.000 0.000
0.500 0.500 0.500

=====

Most stable to least stable, the ends of the list are entry Q and entry P.